A relaxed MgInPd6 crystal, computed with PBE.

Cell lengths 8.259, 8.259, 8.259 Å; angles 151.55, 151.55, 40.68 degrees
Atoms (fractional coordinates):
Mg1 0.875 0.875 0.000
Pd1 0.626 0.626 0.000
Pd2 0.252 0.752 0.500
Pd3 0.375 0.375 0.000
Pd4 0.498 0.998 0.500
Pd5 0.998 0.498 0.500
Pd6 0.752 0.252 0.500
In1 0.124 0.124 0.000

Calculated values
final energy	-4.89	eV/atom
mass density	10.119	g cm⁻³